# TaVSbTe2

TaVSbTe2 after structural relaxation (PBE, Alexandria).

Lattice parameters (Å, degrees): 5.148 5.148 5.097 90.00 90.00 90.00
Atoms (fractional coordinates):
V (0.000, 0.000, 0.000)
Te (0.500, 0.000, 0.000)
Te (0.000, 0.500, 0.000)
Ta (0.500, 0.500, 0.500)
Sb (0.000, 0.000, 0.500)

Its space group is No. 123. For the energy above the most stable polymorph in this dataset, the calculation gives 0.00 eV per formula unit.



# SrPaPdO4

SrPaPdO4 after structural relaxation (PBE, Alexandria).

Lattice parameters (Å, degrees): 7.520 6.549 7.086 122.75 90.00 125.04
Atoms (fractional coordinates):
Pa (0.500, 0.000, 0.000)
Pa (0.500, 0.000, 0.500)
O (0.264, 0.868, 0.184)
O (0.396, 0.132, 0.816)
O (0.767, 0.533, 0.703)
O (0.604, 0.868, 0.184)
O (0.233, 0.467, 0.297)
O (0.767, 0.533, 0.330)
O (0.736, 0.132, 0.816)
O (0.233, 0.467, 0.670)
Sr (0.094, 0.188, 0.844)
Sr (0.906, 0.812, 0.156)
Pd (0.500, 0.500, 0.500)
Pd (0.000, 0.500, 0.500)

Its space group is No. 74.



# KTl2SnO6

KTl2SnO6 after structural relaxation (PBE, Alexandria).

Lattice parameters (Å, degrees): 5.837 5.837 6.247 62.14 62.13 59.99
Atoms (fractional coordinates):
O (0.945, 0.584, 0.226)
O (0.245, 0.945, 0.226)
O (0.702, 0.185, 0.765)
O (0.348, 0.702, 0.765)
O (0.584, 0.245, 0.226)
O (0.185, 0.348, 0.765)
Tl (0.529, 0.529, 0.413)
Tl (0.011, 0.011, 0.966)
K (0.793, 0.793, 0.620)
Sn (0.319, 0.319, 0.042)

Its space group is No. 146.



# Al2ReSb

Al2ReSb after structural relaxation (PBE, Alexandria).

Lattice parameters (Å, degrees): 4.965 4.965 2.922 90.00 90.00 109.23
Atoms (fractional coordinates):
Al (0.500, 0.500, 0.000)
Al (0.000, 0.000, 0.000)
Sb (0.000, 0.500, 0.500)
Re (0.500, 0.000, 0.500)

Its space group is No. 65.



Number 1: formation energy from raw total energies 0.98 eV/atom. Number 2: formation energy from raw total energies -2.48 eV/atom. Number 3: formation energy from raw total energies -0.94 eV/atom. Number 4: formation energy from raw total energies 0.31 eV/atom.